Record 1
Material: CsTl3Ga
Method: DFT, PBE
State: optimized geometry

Values from the calculation:
E above lowest polymorph	971	meV per atom
spin magnetization	0.000	μB/atom
crystal system	cubic

Cell and atoms, written as CIF:
```
data_CsTl3Ga
_chemical_formula_sum 'Cs1 Tl3 Ga1'
_symmetry_space_group_name_H-M 'P m -3 m'
_symmetry_Int_Tables_number 221
_symmetry_space_group_name_Hall '-P 4 2 3'
_cell_length_a 6.567
_cell_length_b 6.567
_cell_length_c 6.567
_cell_angle_alpha 90.00
_cell_angle_beta 90.00
_cell_angle_gamma 90.00
loop_
_atom_site_label
_atom_site_type_symbol
_atom_site_fract_x
_atom_site_fract_y
_atom_site_fract_z
Cs1 Cs 0.000 0.000 0.000
Tl1 Tl 0.000 0.000 0.500
Ga1 Ga 0.500 0.500 0.500
```

---

Record 2
Material: K2LiHfGa
Method: DFT, PBE
State: optimized geometry

Values from the calculation:
energy	-12.502	eV per cell
spin magnetization	0.096	μB/atom
crystal system	tetragonal

Cell and atoms, written as CIF:
```
data_K2LiHfGa
_chemical_formula_sum 'K2 Li1 Hf1 Ga1'
_symmetry_space_group_name_H-M 'P 4/m m m'
_symmetry_Int_Tables_number 123
_symmetry_space_group_name_Hall '-P 4 2'
_cell_length_a 6.994
_cell_length_b 6.994
_cell_length_c 5.135
_cell_angle_alpha 90.00
_cell_angle_beta 90.00
_cell_angle_gamma 90.00
loop_
_atom_site_label
_atom_site_type_symbol
_atom_site_fract_x
_atom_site_fract_y
_atom_site_fract_z
K1 K 0.000 0.500 0.000
Li1 Li 0.000 0.000 0.500
Hf1 Hf 0.500 0.500 0.000
Ga1 Ga 0.500 0.500 0.500
```

---

Record 3
Material: GdDyMgPb
Method: DFT, PBE
State: optimized geometry

Values from the calculation:
energy	-100.625	eV per cell
spin magnetization	1.892	μB/atom
crystal system	cubic

Cell and atoms, written as CIF:
```
data_GdDyMgPb
_chemical_formula_sum 'Gd4 Dy4 Mg4 Pb4'
_symmetry_space_group_name_H-M 'F -4 3 m'
_symmetry_Int_Tables_number 216
_symmetry_space_group_name_Hall 'F -4 2 3'
_cell_length_a 7.614
_cell_length_b 7.614
_cell_length_c 7.614
_cell_angle_alpha 90.00
_cell_angle_beta 90.00
_cell_angle_gamma 90.00
loop_
_atom_site_label
_atom_site_type_symbol
_atom_site_fract_x
_atom_site_fract_y
_atom_site_fract_z
Gd1 Gd 0.000 0.000 0.000
Dy1 Dy 0.000 0.000 0.500
Mg1 Mg 0.250 0.250 0.250
Pb1 Pb 0.250 0.250 0.750
```

---

Record 4
Material: Cs2NiHI6
Method: DFT, PBE
State: optimized geometry

Values from the calculation:
energy	-49.485	eV per cell
spin magnetization	0.000	μB/atom
crystal system	tetragonal

Cell and atoms, written as CIF:
```
data_Cs2NiHI6
_chemical_formula_sum 'Cs4 Ni2 H2 I12'
_symmetry_space_group_name_H-M 'I 4/m m m'
_symmetry_Int_Tables_number 139
_symmetry_space_group_name_Hall '-I 4 2'
_cell_length_a 7.608
_cell_length_b 7.608
_cell_length_c 12.673
_cell_angle_alpha 90.00
_cell_angle_beta 90.00
_cell_angle_gamma 90.00
loop_
_atom_site_label
_atom_site_type_symbol
_atom_site_fract_x
_atom_site_fract_y
_atom_site_fract_z
Cs1 Cs 0.000 0.500 0.250
Ni1 Ni 0.000 0.000 0.000
H1 H 0.000 0.000 0.500
I1 I 0.000 0.000 0.204
I2 I 0.244 0.244 0.500
```

---

Record 5
Material: LiHSe2
Method: DFT, PBE
State: optimized geometry

Values from the calculation:
E above lowest polymorph	84	meV per atom
spin magnetization	0.000	μB/atom
crystal system	tetragonal

Cell and atoms, written as CIF:
```
data_LiHSe2
_chemical_formula_sum 'Li4 H4 Se8'
_symmetry_space_group_name_H-M 'I -4 2 d'
_symmetry_Int_Tables_number 122
_symmetry_space_group_name_Hall 'I -4 2bw'
_cell_length_a 4.936
_cell_length_b 4.936
_cell_length_c 12.923
_cell_angle_alpha 90.00
_cell_angle_beta 90.00
_cell_angle_gamma 90.00
loop_
_atom_site_label
_atom_site_type_symbol
_atom_site_fract_x
_atom_site_fract_y
_atom_site_fract_z
Li1 Li 0.000 0.000 0.000
H1 H 0.000 0.000 0.500
Se1 Se 0.085 0.250 0.625
```

---

Record 6
Material: PuMgInSn
Method: DFT, PBE
State: optimized geometry

Values from the calculation:
E above lowest polymorph	91	meV per atom
spin magnetization	1.429	μB/atom
crystal system	cubic

Cell and atoms, written as CIF:
```
data_PuMgInSn
_chemical_formula_sum 'Pu4 Mg4 In4 Sn4'
_symmetry_space_group_name_H-M 'F -4 3 m'
_symmetry_Int_Tables_number 216
_symmetry_space_group_name_Hall 'F -4 2 3'
_cell_length_a 7.396
_cell_length_b 7.396
_cell_length_c 7.396
_cell_angle_alpha 90.00
_cell_angle_beta 90.00
_cell_angle_gamma 90.00
loop_
_atom_site_label
_atom_site_type_symbol
_atom_site_fract_x
_atom_site_fract_y
_atom_site_fract_z
Pu1 Pu 0.000 0.000 0.000
Mg1 Mg 0.000 0.000 0.500
In1 In 0.250 0.250 0.250
Sn1 Sn 0.250 0.250 0.750
```

---

> What is the spin magnetization in the fourth record?

0.000 μB/atom

---

> Which formula does entry 5 have?

LiHSe2